An optimized crystal structure of CoB2AsPb, computed with GGA-PBE.

Unit cell a=4.442 b=5.637 c=4.442 alpha=90.00 beta=90.00 gamma=90.00
Last column: magnetic moment on the atom in μB.
Sites, in units of the cell vectors:
1 B 0.000 0.000 0.500  -0.01
2 B 0.500 0.000 0.000  -0.01
3 Pb 0.000 0.000 0.000  0.00
4 Co 0.500 0.500 0.500  0.12
5 As 0.000 0.500 0.000  0.02

Properties
DFT formation energy in eV/f.u.: 12.49
Relative energy among the computed polymorphs in eV/f.u.: 7.84
Total moment in μB per formula unit: 0.1
Total DFT energy (no corrections) in eV/atom: -3.265
Space-group type: P4/mmm (123)

An optimized crystal structure of CoB2AsPb, computed with GGA-PBE.

Unit cell a=3.919 b=5.375 c=3.919 alpha=90.00 beta=90.00 gamma=90.00
Sites, in units of the cell vectors:
1 B 0.500 0.000 0.000
2 Co 0.000 0.000 0.000
3 Pb 0.000 0.500 0.000
4 As 0.500 0.500 0.500
5 B 0.000 0.000 0.500

Properties
DFT formation energy in eV/f.u.: 4.66
Relative energy among the computed polymorphs in eV/f.u.: 0.00
Total moment in μB per formula unit: 0.0
Total DFT energy (no corrections) in eV/atom: -4.833
Space-group type: P4/mmm (123)

An optimized crystal structure of CoBAs2Pt, computed with GGA-PBE.

Unit cell a=4.258 b=5.030 c=4.258 alpha=90.00 beta=90.00 gamma=90.00
Sites, in units of the cell vectors:
1 Co 0.000 0.000 0.000
2 Pt 0.000 0.500 0.000
3 As 0.000 0.000 0.500
4 B 0.500 0.500 0.500
5 As 0.500 0.000 0.000

Properties
DFT formation energy in eV/f.u.: 5.99
Total moment in μB per formula unit: 0.0
Total DFT energy (no corrections) in eV/atom: -4.627
Space-group type: P4/mmm (123)

An optimized crystal structure of CoBAsSe2, computed with GGA-PBE.

Unit cell a=4.841 b=4.841 c=4.310 alpha=90.00 beta=90.00 gamma=90.00
Sites, in units of the cell vectors:
1 Se 0.000 0.500 0.000
2 Co 0.000 0.000 0.000
3 As 0.000 0.000 0.500
4 B 0.500 0.500 0.500
5 Se 0.500 0.000 0.000

Properties
Relative energy among the computed polymorphs in eV/f.u.: 0.95
Total moment in μB per formula unit: 0.0
Total DFT energy (no corrections) in eV/atom: -3.910
Space-group type: P4/mmm (123)
Raw formation energy in eV per atom: 1.170

An optimized crystal structure of CoBAsSe2, computed with GGA-PBE.

Unit cell a=4.540 b=4.540 c=4.134 alpha=90.00 beta=90.00 gamma=90.00
Last column: magnetic moment on the atom in μB.
Sites, in units of the cell vectors:
1 As 0.000 0.000 0.500  -0.08
2 Se 0.500 0.000 0.000  0.02
3 Se 0.000 0.500 0.000  0.02
4 Co 0.500 0.500 0.500  1.89
5 B 0.000 0.000 0.000  0.00

Properties
Relative energy among the computed polymorphs in eV/f.u.: 0.00
Total moment in μB per formula unit: 1.8
Total DFT energy (no corrections) in eV/atom: -4.100
Space-group type: P4/mmm (123)
Raw formation energy in eV per atom: 0.980

An optimized crystal structure of CoSnBAs2, computed with GGA-PBE.

Unit cell a=4.358 b=5.431 c=4.358 alpha=90.00 beta=90.00 gamma=90.00
Sites, in units of the cell vectors:
1 B 0.500 0.500 0.500
2 As 0.500 0.000 0.000
3 As 0.000 0.000 0.500
4 Sn 0.000 0.500 0.000
5 Co 0.000 0.000 0.000

Properties
DFT formation energy in eV/f.u.: 5.14
Total moment in μB per formula unit: 0.0
Total DFT energy (no corrections) in eV/atom: -4.390
Space-group type: P4/mmm (123)

An optimized crystal structure of TiCoB2As, computed with GGA-PBE.

Unit cell a=4.200 b=4.323 c=4.200 alpha=90.00 beta=90.00 gamma=90.00
Last column: magnetic moment on the atom in μB.
Sites, in units of the cell vectors:
1 As 0.500 0.500 0.500  -0.01
2 B 0.000 0.000 0.500  -0.01
3 B 0.500 0.000 0.000  0.01
4 Ti 0.000 0.000 0.000  -0.03
5 Co 0.000 0.500 0.000  0.35

Properties
DFT formation energy in eV/f.u.: 7.61
Total moment in μB per formula unit: 0.3
Total DFT energy (no corrections) in eV/atom: -5.078
Space-group type: P4/mmm (123)

An optimized crystal structure of TlCo2BAs, computed with GGA-PBE.

Unit cell a=4.905 b=4.052 c=4.905 alpha=90.00 beta=90.00 gamma=90.00
Last column: magnetic moment on the atom in μB.
Sites, in units of the cell vectors:
1 As 0.500 0.500 0.500  -0.05
2 Co 0.500 0.000 0.000  1.43
3 B 0.000 0.500 0.000  -0.01
4 Tl 0.000 0.000 0.000  -0.05
5 Co 0.000 0.000 0.500  1.49

Properties
DFT formation energy in eV/f.u.: 9.41
Total moment in μB per formula unit: 2.7
Total DFT energy (no corrections) in eV/atom: -3.698
Space-group type: P4/mmm (123)

An optimized crystal structure of CrBAs2, computed with GGA-PBE.

Unit cell a=5.548 b=5.548 c=6.010 alpha=62.51 beta=62.51 gamma=90.00
Last column: magnetic moment on the atom in μB.
Sites, in units of the cell vectors:
1 Cr 0.750 0.250 0.500  3.02
2 As 0.182 0.625 0.250  -0.14
3 As 0.875 0.818 0.750  -0.15
4 B 0.250 0.750 0.500  0.04
5 As 0.568 0.125 0.250  -0.14
6 Cr 0.000 0.000 0.000  3.03
7 As 0.375 0.432 0.750  -0.15
8 B 0.500 0.500 0.000  0.04

Properties
DFT formation energy in eV/f.u.: 0.98
Total moment in μB per formula unit: 3.0
Total DFT energy (no corrections) in eV/atom: -6.156
Space-group type: I-42d (122)

An optimized crystal structure of Cr3BAs, computed with GGA-PBE.

Unit cell a=3.904 b=3.904 c=3.904 alpha=90.00 beta=90.00 gamma=90.00
Last column: magnetic moment on the atom in μB.
Sites, in units of the cell vectors:
1 As 0.500 0.500 0.500  -0.03
2 B 0.000 0.000 0.000  -0.03
3 Cr 0.000 0.500 0.000  0.49
4 Cr 0.000 0.000 0.500  0.74
5 Cr 0.500 0.000 0.000  0.33

Properties
DFT formation energy in eV/f.u.: 1.37
Relative energy among the computed polymorphs in eV/f.u.: 0.00
Total moment in μB per formula unit: 1.6
Total DFT energy (no corrections) in eV/atom: -7.766
Space-group type: Pm-3m (221)

An optimized crystal structure of Cr3BAs, computed with GGA-PBE.

Unit cell a=4.297 b=4.297 c=4.297 alpha=90.00 beta=90.00 gamma=90.00
Sites, in units of the cell vectors:
1 As 0.000 0.000 0.000
2 B 0.500 0.500 0.500
3 Cr 0.000 0.000 0.500
4 Cr 0.500 0.000 0.000
5 Cr 0.000 0.500 0.000

Properties
DFT formation energy in eV/f.u.: 9.38
Relative energy among the computed polymorphs in eV/f.u.: 8.01
Total moment in μB per formula unit: 0.0
Total DFT energy (no corrections) in eV/atom: -6.163
Space-group type: Pm-3m (221)